# 1
The following is a PBE calculation of an optimized crystal structure of HfVFe2, from Alexandria.

Lattice parameters (Å, degrees): 3.7013 3.7013 18.1390 90.00 90.00 90.00
Last column: nearest neighbours and their distance in Å.
Space group I-42d (No. 122)
Asymmetric unit:
Hf 0.0000 0.0000 0.0000 [4 per cell]  4 V 2.62, 4 Fe 2.65
V 0.0000 0.0000 0.5000 [4 per cell]  4 Fe 2.59, 4 Hf 2.62
Fe 0.2258 0.2500 0.6250 [8 per cell]  4 Fe 2.49-2.75, 2 V 2.59, 2 Hf 2.65

Properties
**Energy of formation**: 233.0 kJ/mol of formula units
**Energy above the lowest structure with this stoichiometry**: 769.1 meV per atom

=====

# 2
The following is a PBE calculation of an optimized crystal structure of Sc2Cu2Bi, from Alexandria.

Lattice parameters (Å, degrees): 4.4852 4.4852 10.4356 90.00 90.00 90.00
Last column: nearest neighbours and their distance in Å.
Space group I4/mmm (No. 139)
Asymmetric unit:
Sc 0.0000 0.5000 0.2500 [4 per cell]  4 Cu 2.67
Cu 0.0000 0.0000 0.1108 [4 per cell]  1 Cu 2.31
Bi 0.0000 0.0000 0.5000 [2 per cell]  8 Cu 3.38, 8 Sc 3.44

Properties
**Energy of formation**: -45.8 kJ/mol of formula units
**Energy above the lowest structure with this stoichiometry**: 251.8 meV per atom

=====

# 3
The following is a PBE calculation of an optimized crystal structure of Tb5CuS4, from Alexandria.

Lattice parameters (Å, degrees): 13.2521 3.9073 9.7479 90.00 120.03 90.00
Last column: nearest neighbours and their distance in Å.
Space group C2/m (No. 12)
Asymmetric unit:
Tb 0.0000 0.0000 0.0000 [2 per cell]  6 S 2.78
Tb 0.1015 0.5000 0.3983 [4 per cell]  4 S 2.78-2.83, 2 Cu 2.82
Tb 0.1985 0.0000 0.7988 [4 per cell]  5 S 2.77-2.81, 1 Cu 2.78
Cu 0.0000 0.0000 0.5000 [2 per cell]  6 Tb 2.78-2.82
S 0.1018 0.5000 0.9052 [4 per cell]  6 Tb 2.77-2.83
S 0.1997 0.0000 0.2977 [4 per cell]  6 Tb 2.78-2.81

Properties
**Formation energy without anion corrections**: -1.64 eV per atom